Material: Al3CuCl
Method: DFT, GGA-PBE
State: optimized geometry

Geometry as POSCAR:
```
Al3CuCl
1.0
-1.471 -2.040 -4.251
0.676 -4.498 1.925
-4.666 -0.009 1.619
Al Cl Cu
3 1 1
Cartesian
-0.735 -1.020 -2.125
-2.333 -0.004 0.809
0.338 -2.249 0.962
0.000 0.000 0.000
-2.730 -3.273 -0.353
```

## Properties
**Symmetry**: Pm-3m
**Energy above the lowest structure with this stoichiometry**: 0.877 eV per atom
**Total DFT energy (no corrections)**: -2.548 eV per atom
**Spin magnetization**: 0.00 μB per cell
**ΔE_f (raw)**: 0.8866 eV per atom

---

Material: AlCu2Cl
Method: DFT, GGA-PBE
State: optimized geometry

Geometry as POSCAR:
```
AlCu2Cl
1.0
-0.657 1.106 2.806
-2.996 0.031 -0.713
-0.639 -6.473 2.401
Cl Al Cu
1 1 2
Cartesian
-2.349 -4.723 3.009
-0.263 -2.668 0.989
-1.981 -0.998 1.627
-0.018 -0.184 0.068
```

## Properties
**Symmetry**: P4mm
**Energy above the lowest structure with this stoichiometry**: 0.203 eV per atom
**Total DFT energy (no corrections)**: -3.430 eV per atom
**Spin magnetization**: 0.00 μB per cell
**ΔE_f (raw)**: 0.0153 eV per atom

---

Material: AlCu2Cl
Method: DFT, GGA-PBE
State: optimized geometry

Geometry as POSCAR:
```
AlCu2Cl
1.0
-1.958 -3.818 2.893
2.973 -0.355 4.221
-3.392 2.799 -2.728
Cu Al Cl
2 1 1
Cartesian
1.008 -4.147 7.068
0.514 -2.114 3.603
-2.422 -1.553 1.861
0.044 0.178 2.525
```

## Properties
**Symmetry**: Immm
**Energy above the lowest structure with this stoichiometry**: 0.269 eV per atom
**Total DFT energy (no corrections)**: -3.363 eV per atom
**Spin magnetization**: 0.00 μB per cell
**ΔE_f (raw)**: 0.0820 eV per atom

---

Material: AlCu3Cl
Method: DFT, GGA-PBE
State: optimized geometry

Geometry as POSCAR:
```
AlCu3Cl
1.0
4.489 0.000 0.000
0.000 4.489 0.000
0.000 0.000 4.489
Cu Cl Al
3 1 1
Cartesian
2.245 0.000 0.000
0.000 2.245 0.000
0.000 0.000 2.245
0.000 0.000 0.000
2.245 2.245 2.245
```

## Properties
**Symmetry**: Pm-3m
**Energy above the lowest structure with this stoichiometry**: 0.058 eV per atom
**Total DFT energy (no corrections)**: -2.817 eV per atom
**Spin magnetization**: 0.00 μB per cell
**ΔE_f (raw)**: 0.7588 eV per atom

---

Material: AlCu2Cl6
Method: DFT, GGA-PBE
State: optimized geometry

Geometry as POSCAR:
```
AlCu2Cl6
1.0
-3.596 5.253 1.477
-8.912 -2.675 1.759
0.750 1.829 9.261
Cl Cu Al
12 4 2
Cartesian
-3.966 0.782 2.687
-6.892 -1.699 1.838
-9.942 0.274 4.582
-7.659 0.222 7.779
-4.866 6.106 10.659
-2.185 1.161 5.886
-9.573 3.246 6.612
-7.792 3.625 9.810
-4.560 2.118 8.370
-7.198 2.289 4.128
-1.815 4.133 7.915
-4.099 4.185 4.718
-3.106 2.351 3.996
-8.651 2.056 8.501
-5.653 -0.011 8.694
-6.105 4.418 3.803
-2.457 2.066 7.838
-9.301 2.341 4.659
```

## Properties
**Symmetry**: C2/c
**Total DFT energy (no corrections)**: -3.508 eV per atom
**Spin magnetization**: 2.16 μB per cell
**ΔE_f (raw)**: -0.9510 eV per atom

---

Material: AlCu2Cl
Method: DFT, GGA-PBE
State: optimized geometry

Geometry as POSCAR:
```
AlCu2Cl
1.0
2.897 0.682 0.000
-0.672 2.900 0.000
0.000 0.000 7.620
Cl Al Cu
1 1 2
Cartesian
1.113 1.791 5.266
0.000 0.000 3.507
1.113 1.791 2.014
0.000 0.000 0.643
```

## Properties
**Symmetry**: Cmm2
**Energy above the lowest structure with this stoichiometry**: 0.220 eV per atom
**Total DFT energy (no corrections)**: -3.413 eV per atom
**Spin magnetization**: 0.00 μB per cell
**ΔE_f (raw)**: 0.0325 eV per atom

---

Material: AlCu2Cl
Method: DFT, GGA-PBE
State: optimized geometry

Geometry as POSCAR:
```
AlCu2Cl
1.0
-4.106 2.017 2.199
-0.001 -2.099 1.924
2.640 2.454 2.681
Al Cu Cl
1 2 1
Cartesian
1.618 0.427 2.630
0.308 0.263 0.333
-1.697 0.237 2.472
-0.376 1.621 3.671
```

## Properties
**Symmetry**: Pm
**Energy above the lowest structure with this stoichiometry**: 0.253 eV per atom
**Total DFT energy (no corrections)**: -3.380 eV per atom
**Spin magnetization**: 0.00 μB per cell
**ΔE_f (raw)**: 0.0656 eV per atom

---

Material: Al3CuCl
Method: DFT, GGA-PBE
State: optimized geometry

Geometry as POSCAR:
```
Al3CuCl
1.0
4.672 0.000 0.000
0.000 4.672 0.000
0.000 0.000 4.672
Cl Al Cu
1 3 1
Cartesian
2.336 2.336 2.336
0.000 0.000 2.336
2.336 0.000 0.000
0.000 2.336 0.000
0.000 0.000 0.000
```

## Properties
**Symmetry**: Pm-3m
**Energy above the lowest structure with this stoichiometry**: 0.000 eV per atom
**Total DFT energy (no corrections)**: -3.424 eV per atom
**Spin magnetization**: 0.00 μB per cell
**ΔE_f (raw)**: 0.0100 eV per atom